1.
# PBE FePb, relaxed
# energy relative to the elements: 0.8 eV/f.u.
# total moment: 1.294 μB/atom
data_FePb
_chemical_formula_sum 'Fe6 Pb6'
_symmetry_space_group_name_H-M 'C 1 m 1'
_symmetry_Int_Tables_number 8
_cell_length_a 13.2083
_cell_length_b 3.1940
_cell_length_c 6.8010
_cell_angle_alpha 90.00
_cell_angle_beta 119.20
_cell_angle_gamma 90.00
loop_
_symmetry_equiv_pos_as_xyz
'x,y,z'
'x,-y,z'
'x+1/2,y+1/2,z'
'x+1/2,-y+1/2,z'
loop_
_atom_site_label
_atom_site_type_symbol
_atom_site_fract_x
_atom_site_fract_y
_atom_site_fract_z
Fe1 Fe 0.0000 0.0000 0.0000
Fe2 Fe 0.0764 0.0000 0.3941
Fe3 Fe 0.1552 0.5000 0.2244
Pb1 Pb 0.0970 0.5000 0.7622
Pb2 Pb 0.3137 0.0000 0.6453
Pb3 Pb 0.3609 0.0000 0.1889

***

2.
# PBE Pm2Tl3Cd3, relaxed
# energy relative to the elements: -2.4 eV/f.u.
# total moment: 0.000 μB/atom
data_Pm2Tl3Cd3
_chemical_formula_sum 'Pm2 Tl3 Cd3'
_symmetry_space_group_name_H-M 'P m m m'
_symmetry_Int_Tables_number 47
_cell_length_a 4.7215
_cell_length_b 4.8091
_cell_length_c 9.2508
_cell_angle_alpha 90.00
_cell_angle_beta 90.00
_cell_angle_gamma 90.00
loop_
_symmetry_equiv_pos_as_xyz
'x,y,z'
'-x,-y,-z'
'-x,-y,z'
'x,y,-z'
'x,-y,-z'
'-x,y,z'
'-x,y,-z'
'x,-y,z'
loop_
_atom_site_label
_atom_site_type_symbol
_atom_site_fract_x
_atom_site_fract_y
_atom_site_fract_z
Pm1 Pm 0.0000 0.0000 0.2492
Tl1 Tl 0.0000 0.5000 0.0000
Tl2 Tl 0.5000 0.0000 0.0000
Tl3 Tl 0.5000 0.0000 0.5000
Cd1 Cd 0.0000 0.5000 0.5000
Cd2 Cd 0.5000 0.5000 0.2589

***

3.
# PBE RbTi3Tc, relaxed
# polymorph energy (0 for the lowest one): 0 meV/atom
# energy relative to the elements: 3.8 eV/f.u.
# total moment: 0.345 μB/atom
data_RbTi3Tc
_chemical_formula_sum 'Rb1 Ti3 Tc1'
_symmetry_space_group_name_H-M 'P m -3 m'
_symmetry_Int_Tables_number 221
_symmetry_space_group_name_Hall '-P 4 2 3'
_cell_length_a 4.9409
_cell_length_b 4.9409
_cell_length_c 4.9409
_cell_angle_alpha 90.00
_cell_angle_beta 90.00
_cell_angle_gamma 90.00
loop_
_atom_site_label
_atom_site_type_symbol
_atom_site_fract_x
_atom_site_fract_y
_atom_site_fract_z
Rb1 Rb 0.0000 0.0000 0.0000
Ti1 Ti 0.0000 0.5000 0.5000
Tc1 Tc 0.5000 0.5000 0.5000

***

4.
# PBE Sb3Ir4, relaxed
# total moment: 0.000 μB/atom
# DFT total energy: -5.76 eV/atom
data_Sb3Ir4
_chemical_formula_sum 'Sb3 Ir4'
_symmetry_space_group_name_H-M 'P 6/m m m'
_symmetry_Int_Tables_number 191
_symmetry_space_group_name_Hall '-P 6 2'
_cell_length_a 5.9469
_cell_length_b 5.9469
_cell_length_c 4.6543
_cell_angle_alpha 90.00
_cell_angle_beta 90.00
_cell_angle_gamma 120.00
loop_
_atom_site_label
_atom_site_type_symbol
_atom_site_fract_x
_atom_site_fract_y
_atom_site_fract_z
Sb1 Sb 0.0000 0.5000 0.0000
Ir1 Ir 0.0000 0.0000 0.2550
Ir2 Ir 0.3333 0.6667 0.5000

***

5.
# PBE La2DySi3Pt4, relaxed
# total moment: 0.000 μB/atom
# DFT total energy: -6.57 eV/atom
data_La2DySi3Pt4
_chemical_formula_sum 'La2 Dy1 Si3 Pt4'
_symmetry_space_group_name_H-M 'P -4 m 2'
_symmetry_Int_Tables_number 115
_cell_length_a 4.3247
_cell_length_b 4.3247
_cell_length_c 10.8131
_cell_angle_alpha 90.00
_cell_angle_beta 90.00
_cell_angle_gamma 90.00
loop_
_symmetry_equiv_pos_as_xyz
'x,y,z'
'y,-x,-z'
'-x,-y,z'
'-y,x,-z'
'-x,y,z'
'-y,-x,-z'
'x,-y,z'
'y,x,-z'
loop_
_atom_site_label
_atom_site_type_symbol
_atom_site_fract_x
_atom_site_fract_y
_atom_site_fract_z
La1 La 0.0000 0.5000 0.2298
Dy1 Dy 0.0000 0.0000 0.5000
Si1 Si 0.0000 0.5000 0.8833
Si2 Si 0.5000 0.5000 0.5000
Pt1 Pt 0.0000 0.0000 0.0000
Pt2 Pt 0.0000 0.5000 0.6595
Pt3 Pt 0.5000 0.5000 0.0000

***

6.
# PBE Nd2AgGe3Pd4, relaxed
# energy relative to the elements: -7.1 eV/f.u.
# total moment: 0.000 μB/atom
data_Nd2AgGe3Pd4
_chemical_formula_sum 'Nd2 Ag1 Ge3 Pd4'
_symmetry_space_group_name_H-M 'P -4 m 2'
_symmetry_Int_Tables_number 115
_cell_length_a 4.3350
_cell_length_b 4.3350
_cell_length_c 10.4991
_cell_angle_alpha 90.00
_cell_angle_beta 90.00
_cell_angle_gamma 90.00
loop_
_symmetry_equiv_pos_as_xyz
'x,y,z'
'y,-x,-z'
'-x,-y,z'
'-y,x,-z'
'-x,y,z'
'-y,-x,-z'
'x,-y,z'
'y,x,-z'
loop_
_atom_site_label
_atom_site_type_symbol
_atom_site_fract_x
_atom_site_fract_y
_atom_site_fract_z
Nd1 Nd 0.0000 0.5000 0.2490
Ag1 Ag 0.5000 0.5000 0.0000
Ge1 Ge 0.0000 0.0000 0.0000
Ge2 Ge 0.0000 0.5000 0.6245
Pd1 Pd 0.0000 0.0000 0.5000
Pd2 Pd 0.0000 0.5000 0.8557
Pd3 Pd 0.5000 0.5000 0.5000

***

7.
# PBE Ac3La2Nd4, relaxed
# energy relative to the elements: 0.2 eV/f.u.
# total moment: 0.000 μB/atom
data_Ac3La2Nd4
_chemical_formula_sum 'Ac3 La2 Nd4'
_symmetry_space_group_name_H-M 'P -1'
_symmetry_Int_Tables_number 2
_cell_length_a 5.4014
_cell_length_b 8.4511
_cell_length_c 8.5012
_cell_angle_alpha 107.29
_cell_angle_beta 90.02
_cell_angle_gamma 108.52
loop_
_symmetry_equiv_pos_as_xyz
'x,y,z'
'-x,-y,-z'
loop_
_atom_site_label
_atom_site_type_symbol
_atom_site_fract_x
_atom_site_fract_y
_atom_site_fract_z
Ac1 Ac 0.0000 0.0000 0.0000
Ac2 Ac 0.4431 0.8866 0.6658
La1 La 0.2241 0.4488 0.3305
Nd1 Nd 0.1144 0.2289 0.6685
Nd2 Nd 0.3299 0.6594 0.0021

***

8.
# PBE PmDy2ErTm5, relaxed
# energy relative to the elements: 2.6 eV/f.u.
# total moment: 0.000 μB/atom
data_PmDy2ErTm5
_chemical_formula_sum 'Pm4 Dy8 Er4 Tm20'
_symmetry_space_group_name_H-M 'I 4/m c m'
_symmetry_Int_Tables_number 140
_symmetry_space_group_name_Hall '-I 4 2c'
_cell_length_a 8.8606
_cell_length_b 8.8606
_cell_length_c 14.4942
_cell_angle_alpha 90.00
_cell_angle_beta 90.00
_cell_angle_gamma 90.00
loop_
_atom_site_label
_atom_site_type_symbol
_atom_site_fract_x
_atom_site_fract_y
_atom_site_fract_z
Pm1 Pm 0.0000 0.0000 0.2500
Dy1 Dy 0.1127 0.3873 0.0000
Er1 Er 0.0000 0.5000 0.2500
Tm1 Tm 0.0000 0.0000 0.0000
Tm2 Tm 0.2055 0.2945 0.3677

***

9.
# PBE Y2AgH2, relaxed
# total moment: 0.000 μB/atom
# DFT total energy: -5.06 eV/atom
data_Y2AgH2
_chemical_formula_sum 'Y4 Ag2 H4'
_symmetry_space_group_name_H-M 'I 4/m m m'
_symmetry_Int_Tables_number 139
_symmetry_space_group_name_Hall '-I 4 2'
_cell_length_a 3.6598
_cell_length_b 3.6598
_cell_length_c 12.4383
_cell_angle_alpha 90.00
_cell_angle_beta 90.00
_cell_angle_gamma 90.00
loop_
_atom_site_label
_atom_site_type_symbol
_atom_site_fract_x
_atom_site_fract_y
_atom_site_fract_z
Y1 Y 0.0000 0.0000 0.1482
Ag1 Ag 0.0000 0.0000 0.5000
H1 H 0.0000 0.5000 0.2500

***

10.
# PBE YTmInTc, relaxed
# energy relative to the elements: -0.7 eV/f.u.
# total moment: 0.000 μB/atom
data_YTmInTc
_chemical_formula_sum 'Y4 Tm4 In4 Tc4'
_symmetry_space_group_name_H-M 'F -4 3 m'
_symmetry_Int_Tables_number 216
_symmetry_space_group_name_Hall 'F -4 2 3'
_cell_length_a 7.1371
_cell_length_b 7.1371
_cell_length_c 7.1371
_cell_angle_alpha 90.00
_cell_angle_beta 90.00
_cell_angle_gamma 90.00
loop_
_atom_site_label
_atom_site_type_symbol
_atom_site_fract_x
_atom_site_fract_y
_atom_site_fract_z
Y1 Y 0.0000 0.0000 0.0000
Tm1 Tm 0.0000 0.0000 0.5000
In1 In 0.2500 0.2500 0.7500
Tc1 Tc 0.2500 0.2500 0.2500

***

11.
# PBE Tb6Tl5Ga, relaxed
# polymorph energy (0 for the lowest one): 95 meV/atom
# energy relative to the elements: -3.4 eV/f.u.
# total moment: 0.000 μB/atom
data_Tb6Tl5Ga
_chemical_formula_sum 'Tb12 Tl10 Ga2'
_symmetry_space_group_name_H-M 'C 1 2/m 1'
_symmetry_Int_Tables_number 12
_cell_length_a 9.4633
_cell_length_b 11.4941
_cell_length_c 6.5921
_cell_angle_alpha 90.00
_cell_angle_beta 103.68
_cell_angle_gamma 90.00
loop_
_symmetry_equiv_pos_as_xyz
'x,y,z'
'-x,-y,-z'
'-x,y,-z'
'x,-y,z'
'x+1/2,y+1/2,z'
'-x+1/2,-y+1/2,-z'
'-x+1/2,y+1/2,-z'
'x+1/2,-y+1/2,z'
loop_
_atom_site_label
_atom_site_type_symbol
_atom_site_fract_x
_atom_site_fract_y
_atom_site_fract_z
Tb1 Tb 0.2218 0.0000 0.2336
Tb2 Tb 0.2319 0.1611 0.7282
Tl1 Tl 0.0000 0.1941 0.0000
Tl2 Tl 0.0000 0.3531 0.5000
Tl3 Tl 0.0000 0.5000 0.0000
Ga1 Ga 0.0000 0.0000 0.5000

***

12.
# PBE Tl2ReHgI, relaxed
# total moment: 0.913 μB/atom
# DFT total energy: -2.28 eV/atom
data_Tl2ReHgI
_chemical_formula_sum 'Tl2 Re1 Hg1 I1'
_symmetry_space_group_name_H-M 'P 4/m m m'
_symmetry_Int_Tables_number 123
_symmetry_space_group_name_Hall '-P 4 2'
_cell_length_a 6.4405
_cell_length_b 6.4405
_cell_length_c 6.8599
_cell_angle_alpha 90.00
_cell_angle_beta 90.00
_cell_angle_gamma 90.00
loop_
_atom_site_label
_atom_site_type_symbol
_atom_site_fract_x
_atom_site_fract_y
_atom_site_fract_z
Tl1 Tl 0.0000 0.5000 0.0000
Re1 Re 0.0000 0.0000 0.5000
Hg1 Hg 0.5000 0.5000 0.5000
I1 I 0.5000 0.5000 0.0000